# 1
BaScBi3: optimized geometry, PBE-GGA.

a = 6.173 Å, b = 6.173 Å, c = 6.173 Å
α = 90.00°, β = 90.00°, γ = 90.00°
Fractional coordinates of all 5 atoms:
Ba1 0.000 0.000 0.000
Sc1 0.500 0.500 0.500
Bi1 0.000 0.000 0.500
Bi2 0.000 0.500 0.000
Bi3 0.500 0.000 0.000

## Properties
The calculated formation energy is 902.3 meV/atom. The calculation puts the energy above the most stable polymorph in this dataset at 1.485 eV/atom. The calculation puts the total magnetization at 0.35 μB per formula unit.

# 2
Ba3Sc2Bi4: optimized geometry, PBE-GGA.

a = 8.246 Å, b = 8.246 Å, c = 10.750 Å
α = 119.92°, β = 119.92°, γ = 35.30°
Fractional coordinates of all 9 atoms:
Ba1 0.000 0.000 0.000
Ba2 0.366 0.366 0.268
Ba3 0.634 0.634 0.732
Sc1 0.315 0.315 0.642
Sc2 0.685 0.685 0.358
Bi1 0.098 0.098 0.408
Bi2 0.320 0.320 0.908
Bi3 0.680 0.680 0.092
Bi4 0.902 0.902 0.592

## Properties
The calculated formation energy is -783.5 meV/atom. The calculation puts the energy above the most stable polymorph in this dataset at 0.000 eV/atom. The calculation puts the total magnetization at 0.00 μB per formula unit.

# 3
Ba2ScBiSe5: optimized geometry, PBE-GGA.

a = 9.347 Å, b = 9.347 Å, c = 14.194 Å
α = 90.00°, β = 90.00°, γ = 153.15°
Fractional coordinates of all 18 atoms:
Ba1 0.104 0.896 0.500
Ba2 0.144 0.856 0.132
Ba3 0.856 0.144 0.632
Ba4 0.896 0.104 0.000
Sc1 0.216 0.784 0.854
Sc2 0.784 0.216 0.354
Bi1 0.463 0.537 0.279
Bi2 0.537 0.463 0.779
Se1 0.069 0.931 0.900
Se2 0.278 0.722 0.479
Se3 0.314 0.686 0.224
Se4 0.362 0.638 0.822
Se5 0.490 0.510 0.590
Se6 0.510 0.490 0.090
Se7 0.638 0.362 0.322
Se8 0.686 0.314 0.724
Se9 0.722 0.278 0.979
Se10 0.931 0.069 0.400

## Properties
The calculation puts the total magnetization at 0.00 μB per formula unit. The calculation puts the total energy at -4.9446 eV per atom.

# 4
BaSc2TcBi: optimized geometry, PBE-GGA.

a = 5.126 Å, b = 5.126 Å, c = 5.610 Å
α = 90.00°, β = 90.00°, γ = 90.00°
Fractional coordinates of all 5 atoms:
Ba1 0.000 0.000 0.000
Sc1 0.000 0.500 0.500
Sc2 0.500 0.000 0.500
Tc1 0.000 0.000 0.500
Bi1 0.500 0.500 0.000

## Properties
The calculated formation energy is 103.3 meV/atom. The calculation puts the energy above the most stable polymorph in this dataset at 0.173 eV/atom. The calculation puts the total magnetization at 0.00 μB per formula unit.

# 5
BaSc2TcBi: optimized geometry, PBE-GGA.

a = 5.127 Å, b = 5.127 Å, c = 5.495 Å
α = 90.00°, β = 90.00°, γ = 90.00°
Fractional coordinates of all 5 atoms:
Ba1 0.000 0.000 0.000
Sc1 0.000 0.500 0.500
Sc2 0.500 0.000 0.500
Tc1 0.500 0.500 0.500
Bi1 0.500 0.500 0.000

## Properties
The calculated formation energy is -69.6 meV/atom. The calculation puts the energy above the most stable polymorph in this dataset at 0.000 eV/atom. The calculation puts the total magnetization at 0.00 μB per formula unit.

# 6
BaScBiW2: optimized geometry, PBE-GGA.

a = 5.163 Å, b = 5.163 Å, c = 6.036 Å
α = 90.00°, β = 90.00°, γ = 90.00°
Fractional coordinates of all 5 atoms:
Ba1 0.000 0.000 0.000
Sc1 0.500 0.500 0.000
Bi1 0.000 0.000 0.500
W1 0.000 0.500 0.500
W2 0.500 0.000 0.500

## Properties
The calculated formation energy is 2110.3 meV/atom. The calculation puts the total magnetization at 0.00 μB per formula unit.

# 7
Ba2ScZnBi: optimized geometry, PBE-GGA.

a = 6.789 Å, b = 6.789 Å, c = 5.505 Å
α = 90.00°, β = 90.00°, γ = 90.00°
Fractional coordinates of all 5 atoms:
Ba1 0.000 0.500 0.000
Ba2 0.500 0.000 0.000
Sc1 0.000 0.000 0.500
Zn1 0.500 0.500 0.500
Bi1 0.000 0.000 0.000

## Properties
The calculated formation energy is 93.8 meV/atom. The calculation puts the total magnetization at 1.23 μB per formula unit.

# 8
BaBi3Se: optimized geometry, PBE-GGA.

a = 6.389 Å, b = 6.389 Å, c = 6.389 Å
α = 90.00°, β = 90.00°, γ = 90.00°
Fractional coordinates of all 5 atoms:
Ba1 0.000 0.000 0.000
Bi1 0.000 0.000 0.500
Bi2 0.000 0.500 0.000
Bi3 0.500 0.000 0.000
Se1 0.500 0.500 0.500

## Properties
The calculation puts the energy above the most stable polymorph in this dataset at 1.221 eV/atom. The calculation puts the total magnetization at 1.63 μB per formula unit.